1.
Here is Mn2CuTc after structural relaxation from the Alexandria database. Energies are from PBE.

Unit cell a=3.540 b=3.730 c=3.730 alpha=90.00 beta=90.00 gamma=90.00
Last column: magnetic moment on the atom in μB.
Atoms (fractional coordinates):
Tc 0.500 0.500 0.000  -0.71
Cu 0.500 0.000 0.500  0.01
Mn 0.000 0.500 0.500  1.62
Mn 0.000 0.000 0.000  1.62

Results
SG   P4/mmm (123)
Final energy   -32.0 eV/cell

---

2.
Here is H9Pd14Pt2 after structural relaxation from the Alexandria database. Energies are from PBE.

Unit cell a=7.497 b=7.497 c=5.864 alpha=90.00 beta=90.00 gamma=120.00
Atoms (fractional coordinates):
Pd 0.678 0.048 0.400
Pd 0.952 0.629 0.400
Pd 0.629 0.678 0.600
Pd 0.322 0.952 0.600
Pd 0.000 0.000 0.275
Pd 0.364 0.046 0.092
Pd 0.636 0.954 0.908
Pd 0.318 0.364 0.908
Pd 0.371 0.322 0.400
Pd 0.048 0.371 0.600
Pd 0.682 0.636 0.092
Pd 0.046 0.682 0.908
Pd 0.954 0.318 0.092
Pd 0.000 0.000 0.725
H 0.777 0.156 0.687
H 0.379 0.223 0.687
H 0.223 0.844 0.313
H 0.667 0.333 0.044
H 0.844 0.621 0.687
H 0.156 0.379 0.313
H 0.621 0.777 0.313
H 0.333 0.667 0.956
H 0.000 0.000 0.000
Pt 0.667 0.333 0.758
Pt 0.333 0.667 0.242

Results
SG   P-3 (147)
Final energy   -113.6 eV/cell

---

3.
Here is Ac2Cd9In3 after structural relaxation from the Alexandria database. Energies are from PBE.

Unit cell a=8.960 b=8.960 c=10.353 alpha=90.00 beta=90.00 gamma=119.50
Atoms (fractional coordinates):
Cd 0.334 0.334 0.937
Cd 0.334 0.334 0.563
Cd 0.551 0.359 0.250
Cd 0.641 0.449 0.750
Cd 0.344 0.024 0.406
Cd 0.656 0.976 0.906
Cd 0.449 0.641 0.750
Cd 0.847 0.847 0.750
Cd 0.024 0.344 0.406
Cd 0.666 0.666 0.437
Cd 0.666 0.666 0.063
Cd 0.153 0.153 0.250
Cd 0.976 0.656 0.906
Cd 0.344 0.024 0.094
Cd 0.024 0.344 0.094
Cd 0.656 0.976 0.594
Cd 0.359 0.551 0.250
Cd 0.976 0.656 0.594
Ac 0.997 0.319 0.750
Ac 0.319 0.997 0.750
Ac 0.681 0.003 0.250
Ac 0.003 0.681 0.250
In 0.311 0.689 0.500
In 0.311 0.689 0.000
In 0.689 0.311 0.000
In 0.689 0.311 0.500
In 0.000 0.000 0.000
In 0.000 0.000 0.500

Results
SG   Cmcm (63)
Final energy   -55.2 eV/cell

---

4.
Here is Sc2TcBi4 after structural relaxation from the Alexandria database. Energies are from PBE.

Unit cell a=5.386 b=5.386 c=8.146 alpha=70.69 beta=70.69 gamma=90.00
Atoms (fractional coordinates):
Bi 0.807 0.807 0.385
Bi 0.193 0.193 0.615
Bi 0.000 0.500 0.000
Bi 0.500 0.000 0.000
Sc 0.393 0.393 0.215
Sc 0.607 0.607 0.785
Tc 0.000 0.000 0.000

Results
SG   I4/mmm (139)
Final energy   -36.9 eV/cell

---

5.
Here is AcPr2P after structural relaxation from the Alexandria database. Energies are from PBE.

Unit cell a=4.055 b=4.055 c=10.045 alpha=78.36 beta=78.36 gamma=60.00
Atoms (fractional coordinates):
Pr 0.057 0.057 0.829
Pr 0.276 0.276 0.171
P 0.666 0.666 0.001
Ac 0.500 0.500 0.499

Results
SG   R3m (160)
Energy above the most stable polymorph in this dataset   0.000 eV/atom

---

6.
Here is LaBeTc3 after structural relaxation from the Alexandria database. Energies are from PBE.

Unit cell a=4.745 b=4.745 c=4.745 alpha=90.00 beta=90.00 gamma=90.00
Last column: magnetic moment on the atom in μB.
Atoms (fractional coordinates):
Be 0.500 0.500 0.500  -0.05
Tc 0.000 0.000 0.500  0.76
Tc 0.000 0.500 0.000  0.79
Tc 0.500 0.000 0.000  0.69
La 0.000 0.000 0.000  -0.04

Results
SG   Pm-3m (221)
Energy above the most stable polymorph in this dataset   1.889 eV/atom

---

7.
Here is RbPmP2Pd4 after structural relaxation from the Alexandria database. Energies are from PBE.

Unit cell a=4.168 b=4.168 c=10.784 alpha=90.00 beta=90.00 gamma=90.00
Atoms (fractional coordinates):
P 0.500 0.500 0.703
P 0.500 0.500 0.297
Rb 0.000 0.000 0.500
Pd 0.000 0.500 0.802
Pd 0.500 0.000 0.802
Pd 0.500 0.000 0.198
Pd 0.000 0.500 0.198
Pm 0.000 0.000 0.000

Results
SG   P4/mmm (123)
Final energy   -41.9 eV/cell

---

8.
Here is Zr5Sb3P after structural relaxation from the Alexandria database. Energies are from PBE.

Unit cell a=8.529 b=8.529 c=6.067 alpha=90.00 beta=90.00 gamma=120.00
Atoms (fractional coordinates):
Zr 0.249 0.000 0.750
Zr 0.667 0.333 0.500
Zr 0.249 0.249 0.250
Zr 0.751 0.751 0.750
Zr 0.333 0.667 0.500
Zr 0.000 0.249 0.750
Zr 0.751 0.000 0.250
Zr 0.333 0.667 0.000
Zr 0.000 0.751 0.250
Zr 0.667 0.333 0.000
Sb 0.600 0.000 0.750
Sb 0.400 0.000 0.250
Sb 0.400 0.400 0.750
Sb 0.600 0.600 0.250
Sb 0.000 0.600 0.750
Sb 0.000 0.400 0.250
P 0.000 0.000 0.000
P 0.000 0.000 0.500

Results
SG   P6_3/mcm (193)
Uncorrected formation energy   -0.902 eV/atom

---

9.
Here is Na2Mg5In12 after structural relaxation from the Alexandria database. Energies are from PBE.

Unit cell a=8.609 b=8.609 c=8.674 alpha=107.75 beta=112.10 gamma=108.29
Atoms (fractional coordinates):
Na 0.750 0.750 0.000
Na 0.250 0.250 0.000
In 0.969 0.475 0.808
In 0.862 0.066 0.503
In 0.668 0.162 0.192
In 0.138 0.934 0.497
In 0.202 0.933 0.135
In 0.437 0.641 0.503
In 0.291 0.439 0.730
In 0.563 0.359 0.497
In 0.332 0.838 0.808
In 0.798 0.067 0.865
In 0.031 0.525 0.192
In 0.709 0.561 0.270
Mg 0.085 0.218 0.303
Mg 0.428 0.714 0.142
Mg 0.500 0.000 0.500
Mg 0.572 0.286 0.858
Mg 0.915 0.782 0.697

Results
SG   C2/m (12)
Energy above the most stable polymorph in this dataset   0.000 eV/atom

---

10.
Here is MgTe after structural relaxation from the Alexandria database. Energies are from PBE.

Unit cell a=4.670 b=4.670 c=24.102 alpha=90.00 beta=90.00 gamma=120.00
Atoms (fractional coordinates):
Mg 0.667 0.333 0.544
Mg 0.000 0.000 0.114
Mg 0.333 0.667 0.456
Mg 0.667 0.333 0.799
Mg 0.000 0.000 0.886
Mg 0.333 0.667 0.201
Te 0.667 0.333 0.423
Te 0.000 0.000 0.235
Te 0.667 0.333 0.919
Te 0.000 0.000 0.765
Te 0.333 0.667 0.577
Te 0.333 0.667 0.081

Results
SG   P-3m1 (164)
Uncorrected formation energy   -0.824 eV/atom

---

11.
Here is Ca5La3F12 after structural relaxation from the Alexandria database. Energies are from PBE.

Unit cell a=12.662 b=12.662 c=12.662 alpha=109.47 beta=109.47 gamma=109.47
Atoms (fractional coordinates):
Ca 0.625 0.875 0.250
Ca 0.000 0.000 0.500
Ca 0.000 0.500 0.500
Ca 0.375 0.250 0.125
Ca 0.125 0.750 0.375
Ca 0.125 0.375 0.250
Ca 0.500 0.500 0.500
Ca 0.500 0.000 0.500
Ca 0.000 0.500 0.000
Ca 0.750 0.125 0.875
Ca 0.625 0.750 0.875
Ca 0.250 0.875 0.125
Ca 0.875 0.250 0.625
Ca 0.500 0.000 0.000
Ca 0.000 0.000 0.000
Ca 0.375 0.125 0.750
Ca 0.250 0.375 0.625
Ca 0.750 0.625 0.375
Ca 0.500 0.500 0.000
Ca 0.875 0.625 0.750
F 0.952 0.844 0.791
F 0.161 0.452 0.107
F 0.548 0.839 0.393
F 0.291 0.839 0.946
F 0.791 0.446 0.339
F 0.452 0.291 0.344
F 0.291 0.452 0.844
F 0.339 0.946 0.791
F 0.054 0.661 0.709
F 0.709 0.548 0.156
F 0.656 0.209 0.548
F 0.946 0.607 0.156
F 0.709 0.161 0.054
F 0.893 0.048 0.839
F 0.156 0.107 0.946
F 0.607 0.661 0.452
F 0.548 0.709 0.656
F 0.107 0.156 0.446
F 0.656 0.446 0.607
F 0.946 0.339 0.291
F 0.107 0.952 0.161
F 0.607 0.946 0.656
F 0.839 0.291 0.446
F 0.344 0.554 0.393
F 0.844 0.952 0.291
F 0.054 0.393 0.844
F 0.393 0.054 0.344
F 0.393 0.339 0.548
F 0.554 0.344 0.893
F 0.161 0.709 0.554
F 0.661 0.054 0.209
F 0.209 0.554 0.661
F 0.048 0.893 0.339
F 0.791 0.344 0.952
F 0.893 0.844 0.554
F 0.844 0.893 0.054
F 0.661 0.607 0.952
F 0.048 0.156 0.209
F 0.156 0.048 0.709
F 0.452 0.161 0.607
F 0.446 0.656 0.107
F 0.839 0.548 0.893
F 0.339 0.393 0.048
F 0.446 0.791 0.839
F 0.554 0.209 0.161
F 0.344 0.791 0.452
F 0.952 0.107 0.661
F 0.209 0.656 0.048
La 0.750 0.375 0.125
La 0.375 0.625 0.250
La 0.875 0.750 0.125
La 0.625 0.250 0.375
La 0.625 0.375 0.750
La 0.125 0.875 0.750
La 0.750 0.875 0.625
La 0.250 0.125 0.375
La 0.250 0.625 0.875
La 0.125 0.250 0.875
La 0.875 0.125 0.250
La 0.375 0.750 0.625

Results
SG   Ia-3d (230)
Uncorrected formation energy   -3.180 eV/atom

---

12.
Here is Ca2Pm3HoTe6 after structural relaxation from the Alexandria database. Energies are from PBE.

Unit cell a=7.641 b=7.641 c=7.831 alpha=99.38 beta=99.38 gamma=120.04
Atoms (fractional coordinates):
Ca 0.334 0.666 0.000
Ca 0.666 0.334 0.000
Pm 0.500 0.500 0.500
Pm 0.173 0.827 0.500
Pm 0.827 0.173 0.500
Te 0.246 0.246 0.752
Te 0.080 0.409 0.241
Te 0.920 0.591 0.759
Te 0.409 0.080 0.241
Te 0.754 0.754 0.248
Te 0.591 0.920 0.759
Ho 0.000 0.000 0.000

Results
SG   C2/m (12)
Uncorrected formation energy   -1.447 eV/atom